(1)
Computed, not measured: crystalline Ac2PrBr2N2 at its relaxed geometry at the PBE-GGA level of DFT.

Properties
**Uncorrected formation energy**: -8.48 eV per formula unit

abc: 4.7545 4.7545 16.3768
angles: 90.00 90.00 90.00
Space group I4/mmm (No. 139)
Asymmetric unit:
Ac (0.0000, 0.0000, 0.0994) [4 per cell]
Pr (0.0000, 0.0000, 0.5000) [2 per cell]
Br (0.0000, 0.0000, 0.3082) [4 per cell]
N (0.0000, 0.5000, 0.0000) [4 per cell]



(2)
Computed, not measured: crystalline Ac4PtBr2N at its relaxed geometry at the PBE-GGA level of DFT.

Properties
**Uncorrected formation energy**: -9.60 eV per formula unit

abc: 7.3618 4.1388 8.5693
angles: 90.00 108.67 90.00
Space group P2/m (No. 10)
Asymmetric unit:
Ac (0.2090, 0.0000, 0.1914) [2 per cell]
Ac (0.2374, 0.5000, 0.8092) [2 per cell]
Pt (0.5000, 0.0000, 0.0000) [1 per cell]
Br (0.0000, 0.0000, 0.5000) [1 per cell]
Br (0.5000, 0.5000, 0.5000) [1 per cell]
N (0.0000, 0.5000, 0.0000) [1 per cell]



(3)
Computed, not measured: crystalline RbAcBrN at its relaxed geometry at the PBE-GGA level of DFT.

Properties
**Uncorrected formation energy**: -4.45 eV per formula unit

abc: 3.9923 3.9923 25.3932
angles: 90.00 90.00 120.00
Space group R3m (No. 160, hexagonal axes)
Asymmetric unit:
Rb (0.0000, 0.0000, 0.0000) [3 per cell]
Ac (0.0000, 0.0000, 0.8652) [3 per cell]
Br (0.0000, 0.0000, 0.4303) [3 per cell]
N (0.0000, 0.0000, 0.5693) [3 per cell]



(4)
Computed, not measured: crystalline Ac8Rh3Br4N at its relaxed geometry at the PBE-GGA level of DFT.

Properties
**Uncorrected formation energy**: -18.04 eV per formula unit

abc: 14.8778 8.4094 9.7103
angles: 90.00 121.18 90.00
Space group C2/m (No. 12)
Asymmetric unit:
Ac (0.0134, 0.2307, 0.3147) [8 per cell]
Ac (0.2332, 0.0000, 0.6952) [4 per cell]
Ac (0.2332, 0.5000, 0.6956) [4 per cell]
Rh (0.0000, 0.5000, 0.5000) [2 per cell]
Rh (0.2500, 0.2500, 0.5000) [4 per cell]
Br (0.0000, 0.0000, 0.0000) [2 per cell]
Br (0.0000, 0.5000, 0.0000) [2 per cell]
Br (0.2500, 0.2500, 0.0000) [4 per cell]
N (0.0000, 0.0000, 0.5000) [2 per cell]



(5)
Computed, not measured: crystalline Ac4RhBr2N at its relaxed geometry at the PBE-GGA level of DFT.

Properties
**Uncorrected formation energy**: -8.92 eV per formula unit

abc: 7.3193 4.0631 8.5932
angles: 90.00 107.76 90.00
Space group P2/m (No. 10)
Asymmetric unit:
Ac (0.2095, 0.0000, 0.1882) [2 per cell]
Ac (0.2473, 0.5000, 0.8113) [2 per cell]
Rh (0.5000, 0.0000, 0.0000) [1 per cell]
Br (0.0000, 0.0000, 0.5000) [1 per cell]
Br (0.5000, 0.5000, 0.5000) [1 per cell]
N (0.0000, 0.5000, 0.0000) [1 per cell]



(6)
Computed, not measured: crystalline Ac6Ru2Br3N at its relaxed geometry at the PBE-GGA level of DFT.

Properties
**Uncorrected formation energy**: -11.68 eV per formula unit

abc: 7.2472 12.5779 8.5961
angles: 90.00 106.37 90.00
Space group C2/m (No. 12)
Asymmetric unit:
Ac (0.2213, 0.1582, 0.1884) [8 per cell]
Ac (0.2480, 0.5000, 0.1880) [4 per cell]
Ru (0.0000, 0.3337, 0.0000) [4 per cell]
Br (0.0000, 0.1727, 0.5000) [4 per cell]
Br (0.0000, 0.5000, 0.5000) [2 per cell]
N (0.0000, 0.0000, 0.0000) [2 per cell]



(7)
Computed, not measured: crystalline Ac2SBr2N at its relaxed geometry at the PBE-GGA level of DFT.

Properties
**Uncorrected formation energy**: -9.77 eV per formula unit

abc: 4.5258 10.0756 7.6114
angles: 90.00 90.00 90.00
Space group Pmc2_1 (No. 26)
Asymmetric unit:
Ac (0.0000, 0.1043, 0.0000) [2 per cell]
Ac (0.5000, 0.2314, 0.4367) [2 per cell]
S (0.5000, 0.0317, 0.7206) [2 per cell]
Br (0.0000, 0.3542, 0.6927) [2 per cell]
Br (0.5000, 0.3318, 0.0573) [2 per cell]
N (0.0000, 0.1374, 0.3641) [2 per cell]



(8)
Computed, not measured: crystalline Ac2SBrN at its relaxed geometry at the PBE-GGA level of DFT.

Properties
**Uncorrected formation energy**: -9.22 eV per formula unit

abc: 16.2339 4.2299 9.4088
angles: 90.00 115.78 90.00
Space group C2/m (No. 12)
Asymmetric unit:
Ac (0.1106, 0.0000, 0.1862) [4 per cell]
Ac (0.1156, 0.5000, 0.8206) [4 per cell]
S (0.2358, 0.5000, 0.1693) [4 per cell]
Br (0.1011, 0.5000, 0.4442) [4 per cell]
N (0.0568, 0.0000, 0.8970) [4 per cell]



The records above yield VASP energy values of -82.9, -43.7, -58.6, -176.0, -44.4, -136.5, -67.6, -126.3 eV/cell, respectively.